Crystalline Sn2SO at its relaxed geometry, computed with PBE-GGA.

Properties
Formation energy from raw total energies in meV per atom: -197
Symmetry: Fm-3m
E_tot in eV per cell: -17.88

a b c (Å): 4.754 4.754 4.754
angles (deg): 60.00 60.00 60.00
Fractional coordinates of all 4 atoms:
Sn1 0.250 0.250 0.250
Sn2 0.750 0.750 0.750
S1 0.000 0.000 0.000
O1 0.500 0.500 0.500